Entry a
Density functional theory data (PBE) for a geometry-optimized Ce4CoIr structure.

For the volume, the calculation gives 24.29 Å³/atom. The density of states at the Fermi level is 28.04 states/eV per cell.

Cell: 7.7212 7.7212 6.7801 Å, 109.49 109.49 114.09°
Atoms (fractional coordinates):
Ce 0.0047 0.5289 0.7512
Ce 0.2472 0.2743 0.2466
Ce 0.2743 0.2472 0.7466
Ce 0.4711 0.9953 0.7488
Ce 0.5289 0.0047 0.2512
Ce 0.7257 0.7528 0.2534
Ce 0.7528 0.7257 0.7534
Ce 0.9953 0.4711 0.2488
Co 0.3776 0.6224 0.7500
Co 0.6224 0.3776 0.2500
Ir 0.1265 0.8735 0.2500
Ir 0.8735 0.1265 0.7500

Entry b
Density functional theory data (PBE) for a geometry-optimized Ce4CoIr structure.

For the volume, the calculation gives 24.10 Å³/atom. The density of states at the Fermi level is 29.01 states/eV per cell.

Cell: 10.9359 10.9359 6.5182 Å, 90.00 90.00 158.23°
Atoms (fractional coordinates):
Ce 0.0494 0.9506 0.5000
Ce 0.3075 0.6925 0.5302
Ce 0.3185 0.6815 0.9589
Ce 0.4336 0.5664 0.3827
Ce 0.5664 0.4336 0.8827
Ce 0.6815 0.3185 0.4589
Ce 0.6925 0.3075 0.0302
Ce 0.9506 0.0494 0.0000
Co 0.4391 0.5609 0.7357
Co 0.5609 0.4391 0.2357
Ir 0.1769 0.8231 0.7370
Ir 0.8231 0.1769 0.2370

We find entry a to be the most stable, with the next structure 67 meV/atom higher.

Entry a
Density functional theory data (PBE) for a geometry-optimized LaCe3Co structure.

For the volume, the calculation gives 29.09 Å³/atom. The density of states at the Fermi level is 15.84 states/eV per cell.

Cell: 5.2593 5.2593 5.2593 Å, 90.00 90.00 90.00°
Atoms (fractional coordinates):
La 0.0000 0.0000 0.0000
Ce 0.0000 0.5000 0.5000
Ce 0.5000 0.0000 0.5000
Ce 0.5000 0.5000 0.0000
Co 0.5000 0.5000 0.5000

Entry b
Density functional theory data (PBE) for a geometry-optimized LaCe3Co structure.

For the volume, the calculation gives 26.19 Å³/atom. The density of states at the Fermi level is 23.50 states/eV per cell.

Cell: 5.9575 7.6349 6.0997 Å, 90.00 109.27 90.00°
Atoms (fractional coordinates):
La 0.1914 0.2500 0.1440
La 0.8086 0.7500 0.8560
Ce 0.2747 0.5255 0.7109
Ce 0.2747 0.9745 0.7109
Ce 0.3969 0.7500 0.2668
Ce 0.6031 0.2500 0.7332
Ce 0.7253 0.0255 0.2891
Ce 0.7253 0.4745 0.2891
Co 0.0390 0.2500 0.5896
Co 0.9610 0.7500 0.4104

We find entry b to be the most stable, with the next structure 96 meV/atom higher.

Entry a
Density functional theory data (PBE) for a geometry-optimized Ce2LuCo structure.

For the volume, the calculation gives 25.30 Å³/atom. The density of states at the Fermi level is 7.76 states/eV per cell.

Cell: 9.1148 9.1148 9.1148 Å, 22.97 22.97 22.97°
Atoms (fractional coordinates):
Ce 0.2283 0.2283 0.2283
Ce 0.7717 0.7717 0.7717
Lu 0.0000 0.0000 0.0000
Co 0.5000 0.5000 0.5000

Entry b
Density functional theory data (PBE) for a geometry-optimized Ce2LuCo structure.

For the volume, the calculation gives 23.85 Å³/atom. The density of states at the Fermi level is 8.65 states/eV per cell.

Cell: 3.5473 3.5473 7.5817 Å, 90.00 90.00 90.00°
Atoms (fractional coordinates):
Ce 0.0000 0.0000 0.1870
Ce 0.0000 0.0000 0.8130
Lu 0.5000 0.5000 0.5000
Co 0.5000 0.5000 0.0000

We find entry a to be the most stable, with the next structure 14 meV/atom higher.

Entry a
Density functional theory data (PBE) for a geometry-optimized Ce3MgCo structure.

For the volume, the calculation gives 24.79 Å³/atom. The density of states at the Fermi level is 25.49 states/eV per cell.

Cell: 3.3657 11.0005 6.9005 Å, 90.00 104.01 90.00°
Atoms (fractional coordinates):
Ce 0.0210 0.2500 0.0382
Ce 0.3497 0.0160 0.6958
Ce 0.3497 0.4840 0.6958
Ce 0.6503 0.5160 0.3042
Ce 0.6503 0.9840 0.3042
Ce 0.9790 0.7500 0.9618
Mg 0.2453 0.7500 0.4960
Mg 0.7547 0.2500 0.5040
Co 0.0000 0.0000 0.0000
Co 0.0000 0.5000 0.0000

Entry b
Density functional theory data (PBE) for a geometry-optimized Ce3MgCo structure.

For the volume, the calculation gives 23.11 Å³/atom. The density of states at the Fermi level is 19.02 states/eV per cell.

Cell: 7.9464 3.3982 8.5987 Å, 90.00 95.60 90.00°
Atoms (fractional coordinates):
Ce 0.1071 0.2500 0.1614
Ce 0.1527 0.7500 0.5212
Ce 0.3459 0.7500 0.9514
Ce 0.6541 0.2500 0.0486
Ce 0.8473 0.2500 0.4788
Ce 0.8929 0.7500 0.8386
Mg 0.4950 0.7500 0.3343
Mg 0.5050 0.2500 0.6657
Co 0.1401 0.2500 0.7656
Co 0.8599 0.7500 0.2344

Entry c
Density functional theory data (PBE) for a geometry-optimized Ce3MgCo structure.

For the volume, the calculation gives 28.15 Å³/atom. The density of states at the Fermi level is 17.06 states/eV per cell.

Cell: 5.2015 5.2015 5.2015 Å, 90.00 90.00 90.00°
Atoms (fractional coordinates):
Ce 0.0000 0.0000 0.5000
Ce 0.0000 0.5000 0.0000
Ce 0.5000 0.0000 0.0000
Mg 0.5000 0.5000 0.5000
Co 0.0000 0.0000 0.0000

We find entry b to be the most stable, with the next structure 85 meV/atom higher.

Entry a
Density functional theory data (PBE) for a geometry-optimized Ce2MgCo9 structure.

For the volume, the calculation gives 14.01 Å³/atom. The density of states at the Fermi level is 15.28 states/eV per cell.

Cell: 8.7136 8.7136 8.7136 Å, 32.31 32.31 32.31°
Atoms (fractional coordinates):
Ce 0.1371 0.1371 0.1371
Ce 0.8629 0.8629 0.8629
Mg 0.0000 0.0000 0.0000
Co 0.0803 0.5792 0.5792
Co 0.3334 0.3334 0.3334
Co 0.4208 0.4208 0.9197
Co 0.4208 0.9197 0.4208
Co 0.5000 0.5000 0.5000
Co 0.5792 0.0803 0.5792
Co 0.5792 0.5792 0.0803
Co 0.6666 0.6666 0.6666
Co 0.9197 0.4208 0.4208

Entry b
Density functional theory data (PBE) for a geometry-optimized Ce2MgCo9 structure.

For the volume, the calculation gives 14.02 Å³/atom. The density of states at the Fermi level is 16.75 states/eV per cell.

Cell: 8.5187 8.5187 8.5187 Å, 33.56 33.56 33.56°
Atoms (fractional coordinates):
Ce 0.0000 0.0000 0.0000
Ce 0.1429 0.1429 0.1429
Mg 0.2792 0.2792 0.2792
Co 0.0602 0.5539 0.5539
Co 0.2198 0.7247 0.7247
Co 0.4732 0.4732 0.4732
Co 0.5539 0.0602 0.5539
Co 0.5539 0.5539 0.0602
Co 0.6376 0.6376 0.6376
Co 0.7247 0.2198 0.7247
Co 0.7247 0.7247 0.2198
Co 0.8044 0.8044 0.8044

We find entry b to be the most stable, with the next structure 45 meV/atom higher.

Entry a
Density functional theory data (PBE) for a geometry-optimized CeMnCo2 structure.

For the volume, the calculation gives 16.58 Å³/atom. The density of states at the Fermi level is 3.91 states/eV per cell.

Cell: 4.9101 4.9101 4.9101 Å, 51.19 51.19 51.19°
Atoms (fractional coordinates):
Ce 0.0000 0.0000 0.0000
Mn 0.5000 0.5000 0.5000
Co 0.1860 0.1860 0.1860
Co 0.8140 0.8140 0.8140

Entry b
Density functional theory data (PBE) for a geometry-optimized CeMnCo2 structure.

For the volume, the calculation gives 14.47 Å³/atom. The density of states at the Fermi level is 4.34 states/eV per cell.

Cell: 2.9043 2.9043 6.8616 Å, 90.00 90.00 90.00°
Atoms (fractional coordinates):
Ce 0.0000 0.0000 0.0000
Mn 0.0000 0.0000 0.5000
Co 0.5000 0.5000 0.3104
Co 0.5000 0.5000 0.6896

Entry c
Density functional theory data (PBE) for a geometry-optimized CeMnCo2 structure.

For the volume, the calculation gives 15.10 Å³/atom. The density of states at the Fermi level is 2.60 states/eV per cell.

Cell: 4.1921 4.1921 3.4363 Å, 90.00 90.00 90.00°
Atoms (fractional coordinates):
Ce 0.0000 0.0000 0.0000
Mn 0.5000 0.5000 0.0000
Co 0.0000 0.5000 0.5000
Co 0.5000 0.0000 0.5000

We find entry a to be the most stable, with the next structure 72 meV/atom higher.

Entry a
Density functional theory data (PBE) for a geometry-optimized CeNd2Co2 structure.

For the volume, the calculation gives 22.90 Å³/atom. The density of states at the Fermi level is 11.69 states/eV per cell.

Cell: 6.1061 6.1061 7.0092 Å, 96.47 96.47 62.10°
Atoms (fractional coordinates):
Ce 0.0807 0.9193 0.7500
Ce 0.9193 0.0807 0.2500
Nd 0.2385 0.4569 0.3528
Nd 0.4569 0.2385 0.8528
Nd 0.5431 0.7615 0.1472
Nd 0.7615 0.5431 0.6472
Co 0.0022 0.6966 0.9771
Co 0.3034 0.9978 0.5229
Co 0.6966 0.0022 0.4771
Co 0.9978 0.3034 0.0229

Entry b
Density functional theory data (PBE) for a geometry-optimized CeNd2Co2 structure.

For the volume, the calculation gives 23.13 Å³/atom. The density of states at the Fermi level is 9.42 states/eV per cell.

Cell: 6.8202 6.8202 11.4521 Å, 122.95 122.95 31.76°
Atoms (fractional coordinates):
Ce 0.1365 0.1365 0.3450
Ce 0.8635 0.8635 0.6550
Nd 0.1492 0.1492 0.6811
Nd 0.3984 0.3984 0.0640
Nd 0.6016 0.6016 0.9360
Nd 0.8508 0.8508 0.3189
Co 0.1077 0.1077 0.1357
Co 0.4355 0.4355 0.5686
Co 0.5645 0.5645 0.4314
Co 0.8923 0.8923 0.8643

We find entry a to be the most stable, with the next structure 16 meV/atom higher.

Entry a
Density functional theory data (PBE) for a geometry-optimized Ce2NdCo structure.

For the volume, the calculation gives 25.58 Å³/atom. The density of states at the Fermi level is 9.45 states/eV per cell.

Cell: 3.4981 3.4981 8.3626 Å, 90.00 90.00 90.00°
Atoms (fractional coordinates):
Ce 0.0000 0.0000 0.1707
Ce 0.0000 0.0000 0.8293
Nd 0.5000 0.5000 0.5000
Co 0.5000 0.5000 0.0000

Entry b
Density functional theory data (PBE) for a geometry-optimized Ce2NdCo structure.

For the volume, the calculation gives 25.23 Å³/atom. The density of states at the Fermi level is 62.97 states/eV per cell.

Cell: 13.7236 9.5956 6.1319 Å, 90.00 90.00 90.00°
Atoms (fractional coordinates):
Ce 0.0378 0.0636 0.2410
Ce 0.0378 0.4364 0.2410
Ce 0.2121 0.5679 0.9254
Ce 0.2121 0.9321 0.9254
Ce 0.2879 0.0679 0.4254
Ce 0.2879 0.4321 0.4254
Ce 0.4622 0.5636 0.7410
Ce 0.4622 0.9364 0.7410
Ce 0.5378 0.0636 0.2590
Ce 0.5378 0.4364 0.2590
Ce 0.7121 0.5679 0.5746
Ce 0.7121 0.9321 0.5746
Ce 0.7879 0.0679 0.0746
Ce 0.7879 0.4321 0.0746
Ce 0.9622 0.5636 0.7590
Ce 0.9622 0.9364 0.7590
Nd 0.1017 0.2500 0.7392
Nd 0.1456 0.7500 0.4417
Nd 0.3544 0.2500 0.9417
Nd 0.3983 0.7500 0.2392
Nd 0.6017 0.2500 0.7608
Nd 0.6456 0.7500 0.0583
Nd 0.8544 0.2500 0.5583
Nd 0.8983 0.7500 0.2608
Co 0.0774 0.7500 0.9512
Co 0.1707 0.2500 0.2365
Co 0.3293 0.7500 0.7365
Co 0.4226 0.2500 0.4512
Co 0.5774 0.7500 0.5488
Co 0.6707 0.2500 0.2635
Co 0.8293 0.7500 0.7635
Co 0.9226 0.2500 0.0488

Entry c
Density functional theory data (PBE) for a geometry-optimized Ce2NdCo structure.

For the volume, the calculation gives 27.21 Å³/atom. The density of states at the Fermi level is 8.53 states/eV per cell.

Cell: 9.1968 9.1968 9.1968 Å, 23.53 23.53 23.53°
Atoms (fractional coordinates):
Ce 0.0000 0.0000 0.0000
Ce 0.2164 0.2164 0.2164
Nd 0.4409 0.4409 0.4409
Co 0.6077 0.6077 0.6077

Entry d
Density functional theory data (PBE) for a geometry-optimized Ce2NdCo structure.

For the volume, the calculation gives 23.93 Å³/atom. The density of states at the Fermi level is 10.11 states/eV per cell.

Cell: 4.8671 4.8671 4.8671 Å, 68.22 68.22 68.22°
Atoms (fractional coordinates):
Ce 0.2188 0.2188 0.2188
Ce 0.7812 0.7812 0.7812
Nd 0.5000 0.5000 0.5000
Co 0.0000 0.0000 0.0000

We find entry b to be the most stable, with the next structure 90 meV/atom higher.

Entry a
Density functional theory data (PBE) for a geometry-optimized Ce3CoNi structure.

For the volume, the calculation gives 20.98 Å³/atom. The density of states at the Fermi level is 37.76 states/eV per cell.

Cell: 7.0059 7.3883 9.0871 Å, 90.00 116.87 90.00°
Atoms (fractional coordinates):
Ce 0.0754 0.2311 0.0683
Ce 0.0754 0.2689 0.5683
Ce 0.1941 0.5625 0.8314
Ce 0.1941 0.9375 0.3314
Ce 0.3867 0.5521 0.2626
Ce 0.3867 0.9479 0.7626
Ce 0.6133 0.0521 0.2374
Ce 0.6133 0.4479 0.7374
Ce 0.8059 0.0625 0.6686
Ce 0.8059 0.4375 0.1686
Ce 0.9246 0.7311 0.4317
Ce 0.9246 0.7689 0.9317
Co 0.2721 0.5932 0.5380
Co 0.2721 0.9068 0.0380
Co 0.7279 0.0932 0.9620
Co 0.7279 0.4068 0.4620
Ni 0.3871 0.2493 0.4499
Ni 0.3871 0.2507 0.9499
Ni 0.6129 0.7493 0.0501
Ni 0.6129 0.7507 0.5501

Entry b
Density functional theory data (PBE) for a geometry-optimized Ce3CoNi structure.

For the volume, the calculation gives 21.05 Å³/atom. The density of states at the Fermi level is 18.82 states/eV per cell.

Cell: 3.6672 6.1652 9.6545 Å, 101.04 100.36 90.83°
Atoms (fractional coordinates):
Ce 0.1011 0.2762 0.0250
Ce 0.1761 0.0906 0.3495
Ce 0.3684 0.4492 0.7406
Ce 0.6316 0.5508 0.2594
Ce 0.8239 0.9094 0.6505
Ce 0.8989 0.7238 0.9750
Co 0.4173 0.0027 0.8505
Co 0.5827 0.9973 0.1495
Ni 0.2401 0.6396 0.4723
Ni 0.7599 0.3604 0.5277

We find entry b to be the most stable, with the next structure 20 meV/atom higher.

Entry a
Density functional theory data (PBE) for a geometry-optimized CeCoNi structure.

For the volume, the calculation gives 15.04 Å³/atom. The density of states at the Fermi level is 6.33 states/eV per cell.

Cell: 5.0375 5.0375 5.0375 Å, 121.24 118.95 89.85°
Atoms (fractional coordinates):
Ce 0.3768 0.1268 0.2500
Ce 0.6232 0.8732 0.7500
Co 0.0000 0.5000 0.5000
Co 0.5000 0.5000 0.0000
Ni 0.0000 0.0000 0.5000
Ni 0.0000 0.5000 0.0000

Entry b
Density functional theory data (PBE) for a geometry-optimized CeCoNi structure.

For the volume, the calculation gives 17.54 Å³/atom. The density of states at the Fermi level is 4.33 states/eV per cell.

Cell: 4.0377 4.0377 3.7266 Å, 90.00 90.00 120.00°
Atoms (fractional coordinates):
Ce 0.0000 0.0000 0.0000
Co 0.3333 0.6667 0.5000
Ni 0.6667 0.3333 0.5000

We find entry a to be the most stable, with the next structure 134 meV/atom higher.